{"formula": "ZnCoRe2", "functional": "PBE", "state": "optimized geometry", "lattice": [[-0.448, -0.357, -2.567], [-1.549, -2.052, 0.555], [-6.223, 4.810, 0.418]], "species": ["Re", "Re", "Co", "Zn"], "frac_coords": [[0.000, 0.000, 0.983], [0.000, 0.000, 0.517], [0.500, 0.500, 0.750], [0.500, 0.500, 0.250]], "formation_enthalpy_0k_kj_per_mol_atoms": 19, "sg": "P4/mmm, No. 123", "m_tot_mub_per_cell": 0.59}

{"formula": "ZnCoRe2", "functional": "PBE", "state": "optimized geometry", "lattice": [[-1.551, -4.020, 2.293], [3.381, -2.446, 2.533], [-1.933, 4.466, -0.374]], "species": ["Re", "Re", "Co", "Zn"], "frac_coords": [[0.002, 0.002, 0.000], [0.498, 0.498, 0.000], [0.250, 0.750, 0.500], [0.750, 0.250, 0.500]], "formation_enthalpy_0k_kj_per_mol_atoms": 21, "sg": "Immm, No. 71", "m_tot_mub_per_cell": 0.30}